## one
# Tb2Sm3Dy6, optimized geometry, DFT PBE-GGA
data_Tb2Sm3Dy6
_chemical_formula_sum 'Tb6 Sm9 Dy18'
_symmetry_space_group_name_H-M 'R -3 m'
_symmetry_Int_Tables_number 166
_symmetry_space_group_name_Hall '-R 3 2"'
_cell_length_a 5.6618
_cell_length_b 5.6618
_cell_length_c 38.6847
_cell_angle_alpha 90.00
_cell_angle_beta 90.00
_cell_angle_gamma 120.00
loop_
_atom_site_label
_atom_site_type_symbol
_atom_site_fract_x
_atom_site_fract_y
_atom_site_fract_z
_atom_site_occupancy
Tb1 Tb 0.0000 0.0000 0.0402 1
Sm1 Sm 0.0000 0.0000 0.2168 1
Sm2 Sm 0.0000 0.0000 0.5000 1
Dy1 Dy 0.0000 0.0000 0.1251 1
Dy2 Dy 0.0000 0.0000 0.3137 1
Dy3 Dy 0.0000 0.0000 0.4086 1
# * crystal system: trigonal

## two
# Tb2Sm3Dy6, optimized geometry, DFT PBE-GGA
data_Tb2Sm3Dy6
_chemical_formula_sum 'Tb4 Sm6 Dy12'
_symmetry_space_group_name_H-M 'I 4/m m m'
_symmetry_Int_Tables_number 139
_symmetry_space_group_name_Hall '-I 4 2'
_cell_length_a 4.7434
_cell_length_b 4.7434
_cell_length_c 33.2410
_cell_angle_alpha 90.00
_cell_angle_beta 90.00
_cell_angle_gamma 90.00
loop_
_atom_site_label
_atom_site_type_symbol
_atom_site_fract_x
_atom_site_fract_y
_atom_site_fract_z
_atom_site_occupancy
Tb1 Tb 0.0000 0.0000 0.0459 1
Sm1 Sm 0.0000 0.0000 0.2984 1
Sm2 Sm 0.0000 0.0000 0.5000 1
Dy1 Dy 0.0000 0.0000 0.1950 1
Dy2 Dy 0.0000 0.5000 0.1208 1
# * crystal system: tetragonal

Short version: two is the least stable of them.